BeTe2CN PBE-GGA optimized geometry; formation energy from raw total energies = 1.4503 eV/atom; ΔE to the lowest computed polymorph = 295 meV per atom
1.0
5.2004 0.0000 0.0000
0.0000 5.2004 0.0000
0.0000 0.0000 3.0522
Te Be N C
2 1 1 1
Direct
0.5000 0.0000 0.0000 Te
0.0000 0.5000 0.0000 Te
0.0000 0.0000 0.0000 Be
0.0000 0.0000 0.5000 N
0.5000 0.5000 0.5000 C

---

CoOsAu PBE-GGA optimized geometry; formation energy = 343 meV per atom; ΔE to the lowest computed polymorph = 0 meV per atom
1.0
-2.8070 2.8543 -4.5778
-2.7600 -0.9301 -5.3386
1.0932 -1.1659 5.8676
Au Os Co
1 1 1
Direct
0.9949 0.9949 0.0000 Au
0.6860 0.6860 0.0000 Os
0.3191 0.3191 0.0000 Co

---

PrPa2Ga PBE-GGA optimized geometry; formation energy = 184 meV per atom; ΔE to the lowest computed polymorph = 174 meV per atom
1.0
-0.1024 -0.3283 -3.1689
1.4802 -2.4532 -1.3968
-9.2298 -7.3295 -0.5456
Pr Pa Ga
1 2 1
Direct
0.0000 0.0000 0.0000 Pr
0.9056 0.9056 0.2833 Pa
0.0944 0.0944 0.7167 Pa
0.5000 0.5000 0.5000 Ga

---

AgH4Pd6 PBE-GGA optimized geometry; ΔE to the lowest computed polymorph = 30 meV per atom
1.0
5.7118 -0.2100 -0.3089
-2.8271 4.9675 0.3089
-2.8271 -1.5391 4.7332
Pd H Ag
6 4 1
Direct
0.0000 0.5000 0.9960 Pd
0.5000 0.0000 0.5000 Pd
0.5000 0.5000 0.0000 Pd
0.4960 0.5000 0.5000 Pd
0.5040 0.0040 0.0040 Pd
0.0000 0.9960 0.5000 Pd
0.5613 0.3280 0.3280 H
0.4387 0.7667 0.7667 H
0.0000 0.6720 0.2333 H
0.0000 0.2333 0.6720 H
0.0000 0.0000 0.0000 Ag

---

Dy3Y3Si4 PBE-GGA optimized geometry; formation energy from raw total energies = -0.7107 eV/atom
1.0
-0.0151 -4.1600 0.7045
7.4635 0.0876 0.6770
-0.6985 1.2484 7.3569
Si Dy Y
4 3 3
Direct
0.0000 0.1163 0.1162 Si
0.0000 0.3835 0.6165 Si
0.0000 0.6166 0.3834 Si
0.0000 0.8838 0.8837 Si
0.0000 0.4994 0.9997 Dy
0.0000 0.0003 0.5006 Dy
0.5000 0.1758 0.8242 Dy
0.5000 0.6760 0.6758 Y
0.5000 0.8241 0.1759 Y
0.5000 0.3242 0.3240 Y

---

NiAu2Cl PBE-GGA optimized geometry; formation energy from raw total energies = 0.0452 eV/atom; ΔE to the lowest computed polymorph = 0 meV per atom
1.0
-3.1052 -0.6926 -3.5628
-3.2633 -3.0550 -1.6831
-5.1311 2.5194 2.7350
Au Cl Ni
2 1 1
Direct
0.0515 0.0515 0.9680 Au
0.3017 0.3017 0.1619 Au
0.3560 0.3560 0.5560 Cl
0.7907 0.7907 0.8142 Ni

---

CsPd2Pb8 PBE-GGA optimized geometry; formation energy = -49 meV per atom
1.0
-6.4195 1.8226 0.8849
-1.8495 -6.4720 -0.0871
1.2108 -0.4774 9.7670
Pb Pd Cs
8 2 1
Direct
0.2484 0.2484 0.1667 Pb
0.7516 0.2484 0.8333 Pb
0.2484 0.2484 0.8333 Pb
0.7516 0.7516 0.1667 Pb
0.7516 0.2484 0.1667 Pb
0.2484 0.7516 0.1667 Pb
0.2484 0.7516 0.8333 Pb
0.7516 0.7516 0.8333 Pb
0.5000 0.0000 0.0000 Pd
0.0000 0.5000 0.0000 Pd
0.5000 0.5000 0.5000 Cs

---

MnFe2Pb PBE-GGA optimized geometry; formation energy = 382 meV per atom
1.0
-2.6913 0.1834 1.6999
1.5795 -0.9472 2.6029
1.2827 5.9539 1.3882
Pb Mn Fe
1 1 2
Direct
0.5000 0.5000 0.7582 Pb
0.0000 0.0000 0.4523 Mn
0.5000 0.5000 0.2410 Fe
0.0000 0.0000 0.0485 Fe

---

Number 1: Fermi-level density of states 3.61 states/eV per cell. Number 2: Fermi-level density of states 2.99 states/eV per cell. Number 3: Fermi-level density of states 7.09 states/eV per cell. Number 4: Fermi-level density of states 5.93 states/eV per cell. Number 5: Fermi-level density of states 8.61 states/eV per cell. Number 6: Fermi-level density of states 2.08 states/eV per cell. Number 7: Fermi-level density of states 6.87 states/eV per cell. Number 8: Fermi-level density of states 2.46 states/eV per cell.